Record 1
{
  "formula": "Ac3GeI2",
  "functional": "PBE",
  "state": "relaxed",
  "final_energy_ev_per_atom": -4.30,
  "cell": [[4.080, -7.034, 0.000], [4.080, 7.034, 0.000], [-2.688, 0.000, 7.892]],
  "species": ["Ac", "Ac", "Ac", "Ac", "Ac", "Ac", "Ge", "Ge", "I", "I", "I", "I"],
  "fractional_positions": [[0.072, 0.429, 0.788], [0.212, 0.212, 0.206], [0.429, 0.072, 0.788], [0.571, 0.928, 0.212], [0.788, 0.788, 0.794], [0.928, 0.571, 0.212], [0.168, 0.832, 0.000], [0.832, 0.168, 0.000], [0.000, 0.000, 0.500], [0.340, 0.660, 0.500], [0.500, 0.500, 0.000], [0.660, 0.340, 0.500]]
}



Record 2
{
  "formula": "Ac3Ge2I",
  "functional": "PBE",
  "state": "relaxed",
  "final_energy_ev_per_atom": -4.44,
  "cell": [[2.548, -7.729, 0.000], [2.548, 7.729, 0.000], [0.000, 0.000, 10.822]],
  "species": ["Ac", "Ac", "Ac", "Ac", "Ac", "Ac", "Ge", "Ge", "Ge", "Ge", "I", "I"],
  "fractional_positions": [[0.114, 0.886, 0.750], [0.376, 0.624, 0.543], [0.376, 0.624, 0.957], [0.624, 0.376, 0.043], [0.624, 0.376, 0.457], [0.886, 0.114, 0.250], [0.000, 0.000, 0.000], [0.000, 0.000, 0.500], [0.490, 0.510, 0.250], [0.510, 0.490, 0.750], [0.220, 0.780, 0.250], [0.780, 0.220, 0.750]]
}



Record 3
{
  "formula": "AcGeI",
  "functional": "PBE",
  "state": "relaxed",
  "final_energy_ev_per_atom": -4.51,
  "cell": [[3.917, -2.306, 0.000], [3.917, 2.306, 0.000], [-0.438, 0.000, 12.556]],
  "species": ["Ac", "Ac", "Ge", "Ge", "I", "I"],
  "fractional_positions": [[0.007, 0.007, 0.168], [0.993, 0.993, 0.832], [0.334, 0.334, 0.009], [0.666, 0.666, 0.991], [0.319, 0.319, 0.659], [0.681, 0.681, 0.341]]
}



Record 4
{
  "formula": "Ac4Ge2I5",
  "functional": "PBE",
  "state": "relaxed",
  "final_energy_ev_per_atom": -4.18,
  "cell": [[12.542, -2.272, 0.000], [12.542, 2.272, 0.000], [-0.024, 0.000, 9.164]],
  "species": ["Ac", "Ac", "Ac", "Ac", "Ge", "Ge", "I", "I", "I", "I", "I"],
  "fractional_positions": [[0.010, 0.010, 0.211], [0.339, 0.339, 0.944], [0.661, 0.661, 0.056], [0.990, 0.990, 0.789], [0.451, 0.451, 0.020], [0.549, 0.549, 0.980], [0.142, 0.142, 0.319], [0.208, 0.208, 0.814], [0.500, 0.500, 0.500], [0.792, 0.792, 0.186], [0.858, 0.858, 0.681]]
}